1.
Density functional theory data (PBE) for a geometry-optimized KBi12Ir4 structure.

total magnetization: 0.0 μB per cell
volume: 481.5 Å³/cell
space group: Im-3, No. 204

a b c (Å): 8.552 8.552 8.552
angles (deg): 109.47 109.47 109.47
Fractional coordinates of all 17 atoms:
K: 0.000 0.000 0.000
Bi: 0.159 0.338 0.497
Bi: 0.159 0.662 0.821
Bi: 0.179 0.841 0.338
Bi: 0.338 0.179 0.841
Bi: 0.338 0.497 0.159
Bi: 0.497 0.159 0.338
Bi: 0.503 0.841 0.662
Bi: 0.662 0.503 0.841
Bi: 0.662 0.821 0.159
Bi: 0.821 0.159 0.662
Bi: 0.841 0.338 0.179
Bi: 0.841 0.662 0.503
Ir: 0.000 0.000 0.500
Ir: 0.000 0.500 0.000
Ir: 0.500 0.000 0.000
Ir: 0.500 0.500 0.500

***

2.
Density functional theory data (PBE) for a geometry-optimized DyPuTh2 structure.

total magnetization: 6.2 μB per cell
energy relative to the lowest polymorph listed for this composition: 0 meV/atom
volume: 121.2 Å³/cell
space group: P4/mmm, No. 123

a b c (Å): 5.053 5.053 4.747
angles (deg): 90.00 90.00 90.00
Fractional coordinates of all 4 atoms:
Dy: 0.000 0.000 0.000
Pu: 0.500 0.500 0.000
Th: 0.000 0.500 0.500
Th: 0.500 0.000 0.500

***

3.
Density functional theory data (PBE) for a geometry-optimized SrZr2FeN4 structure.

total magnetization: 1.9 μB per cell
uncorrected formation energy: -1.1204 eV per atom
volume: 208.8 Å³/cell
space group: Cmcm, No. 63

a b c (Å): 5.864 5.864 11.285
angles (deg): 90.00 90.00 147.45
Fractional coordinates of all 16 atoms:
Sr: 0.101 0.899 0.750
Sr: 0.899 0.101 0.250
Zr: 0.366 0.634 0.546
Zr: 0.366 0.634 0.954
Zr: 0.634 0.366 0.046
Zr: 0.634 0.366 0.454
Fe: 0.167 0.833 0.250
Fe: 0.833 0.167 0.750
N: 0.000 0.000 0.000
N: 0.000 0.000 0.500
N: 0.262 0.738 0.113
N: 0.262 0.738 0.387
N: 0.411 0.589 0.750
N: 0.589 0.411 0.250
N: 0.738 0.262 0.613
N: 0.738 0.262 0.887

***

4.
Density functional theory data (PBE) for a geometry-optimized PmY2Co9 structure.

total magnetization: 10.5 μB per cell
volume: 177.1 Å³/cell
space group: R-3m, No. 166

a b c (Å): 8.617 8.617 8.617
angles (deg): 33.87 33.87 33.87
Fractional coordinates of all 12 atoms:
Pm: 0.000 0.000 0.000
Y: 0.140 0.140 0.140
Y: 0.860 0.860 0.860
Co: 0.079 0.583 0.583
Co: 0.335 0.335 0.335
Co: 0.417 0.417 0.921
Co: 0.417 0.921 0.417
Co: 0.500 0.500 0.500
Co: 0.583 0.079 0.583
Co: 0.583 0.583 0.079
Co: 0.665 0.665 0.665
Co: 0.921 0.417 0.417

***

5.
Density functional theory data (PBE) for a geometry-optimized Ga4MoIr5 structure.

total magnetization: 0.0 μB per cell
volume: 144.6 Å³/cell
space group: P4/mmm, No. 123

a b c (Å): 2.923 2.923 16.927
angles (deg): 90.00 90.00 90.00
Fractional coordinates of all 10 atoms:
Ga: 0.000 0.000 0.098
Ga: 0.000 0.000 0.292
Ga: 0.000 0.000 0.708
Ga: 0.000 0.000 0.902
Mo: 0.000 0.000 0.500
Ir: 0.500 0.500 0.000
Ir: 0.500 0.500 0.196
Ir: 0.500 0.500 0.391
Ir: 0.500 0.500 0.609
Ir: 0.500 0.500 0.804

***

6.
Density functional theory data (PBE) for a geometry-optimized CoAg2W structure.

total magnetization: 0.2 μB per cell
energy relative to the lowest polymorph listed for this composition: 0 meV/atom
volume: 62.1 Å³/cell
space group: P4mm, No. 99

a b c (Å): 2.789 2.789 7.979
angles (deg): 90.00 90.00 90.00
Fractional coordinates of all 4 atoms:
Co: 0.000 0.000 0.000
Ag: 0.000 0.000 0.476
Ag: 0.500 0.500 0.754
W: 0.500 0.500 0.196

***

7.
Density functional theory data (PBE) for a geometry-optimized SmY2Cd2 structure.

total magnetization: 0.0 μB per cell
volume: 281.1 Å³/cell
space group: P2_1/m, No. 11

a b c (Å): 3.754 5.409 13.967
angles (deg): 90.00 97.71 90.00
Fractional coordinates of all 10 atoms:
Sm: 0.147 0.250 0.296
Sm: 0.853 0.750 0.704
Y: 0.046 0.750 0.093
Y: 0.236 0.750 0.472
Y: 0.764 0.250 0.528
Y: 0.954 0.250 0.907
Cd: 0.359 0.250 0.717
Cd: 0.451 0.750 0.902
Cd: 0.549 0.250 0.098
Cd: 0.641 0.750 0.283

***

8.
Density functional theory data (PBE) for a geometry-optimized InAs2PSe structure.

total magnetization: 0.0 μB per cell
uncorrected formation energy: 0.4372 eV per atom
energy relative to the lowest polymorph listed for this composition: 0 meV/atom
volume: 118.9 Å³/cell
space group: P4/mmm, No. 123

a b c (Å): 4.842 4.842 5.072
angles (deg): 90.00 90.00 90.00
Fractional coordinates of all 5 atoms:
In: 0.000 0.000 0.000
As: 0.000 0.500 0.500
As: 0.500 0.000 0.500
P: 0.500 0.500 0.500
Se: 0.500 0.500 0.000

***

9.
Density functional theory data (PBE) for a geometry-optimized Pr6InCo2Br3 structure.

total magnetization: 0.0 μB per cell
uncorrected formation energy: -0.7229 eV per atom
volume: 364.4 Å³/cell
space group: C2/m, No. 12

a b c (Å): 10.338 10.338 9.308
angles (deg): 107.46 107.46 22.63
Fractional coordinates of all 12 atoms:
Pr: 0.036 0.036 0.275
Pr: 0.315 0.315 0.432
Pr: 0.333 0.333 0.860
Pr: 0.667 0.667 0.140
Pr: 0.685 0.685 0.568
Pr: 0.964 0.964 0.725
In: 0.500 0.500 0.000
Co: 0.174 0.174 0.350
Co: 0.826 0.826 0.650
Br: 0.170 0.170 0.844
Br: 0.500 0.500 0.500
Br: 0.830 0.830 0.156

***

10.
Density functional theory data (PBE) for a geometry-optimized Nb2CuNi2 structure.

total magnetization: 0.0 μB per cell
energy relative to the lowest polymorph listed for this composition: 0 meV/atom
volume: 144.6 Å³/cell
space group: P4/mbm, No. 127

a b c (Å): 6.744 6.744 3.179
angles (deg): 90.00 90.00 90.00
Fractional coordinates of all 10 atoms:
Nb: 0.177 0.323 0.000
Nb: 0.323 0.823 0.000
Nb: 0.677 0.177 0.000
Nb: 0.823 0.677 0.000
Cu: 0.000 0.000 0.500
Cu: 0.500 0.500 0.500
Ni: 0.126 0.626 0.500
Ni: 0.374 0.126 0.500
Ni: 0.626 0.874 0.500
Ni: 0.874 0.374 0.500

***

11.
Density functional theory data (PBE) for a geometry-optimized LiNd2C structure.

total magnetization: 0.0 μB per cell
energy relative to the lowest polymorph listed for this composition: 55 meV/atom
volume: 335.7 Å³/cell
space group: R-3m, No. 166

a b c (Å): 3.628 3.628 29.450
angles (deg): 90.00 90.00 120.00
Fractional coordinates of all 12 atoms:
Li: 0.000 0.000 0.000
Li: 0.333 0.667 0.667
Li: 0.667 0.333 0.333
Nd: 0.000 0.000 0.118
Nd: 0.000 0.000 0.882
Nd: 0.333 0.667 0.548
Nd: 0.333 0.667 0.785
Nd: 0.667 0.333 0.215
Nd: 0.667 0.333 0.452
C: 0.000 0.000 0.500
C: 0.333 0.667 0.167
C: 0.667 0.333 0.833

***

12.
Density functional theory data (PBE) for a geometry-optimized Tb2Dy5In3 structure.

total magnetization: 0.0 μB per cell
volume: 627.4 Å³/cell
space group: Ibam, No. 72

a b c (Å): 10.386 10.386 10.386
angles (deg): 105.32 86.34 143.10
Fractional coordinates of all 20 atoms:
Tb: 0.200 0.149 0.350
Tb: 0.300 0.649 0.949
Tb: 0.700 0.351 0.051
Tb: 0.800 0.851 0.650
Dy: 0.161 0.424 0.585
Dy: 0.250 0.250 0.000
Dy: 0.250 0.509 0.259
Dy: 0.250 0.991 0.741
Dy: 0.339 0.924 0.263
Dy: 0.661 0.076 0.737
Dy: 0.750 0.009 0.259
Dy: 0.750 0.491 0.741
Dy: 0.750 0.750 0.000
Dy: 0.839 0.576 0.415
In: 0.148 0.864 0.011
In: 0.250 0.750 0.500
In: 0.352 0.364 0.716
In: 0.648 0.636 0.284
In: 0.750 0.250 0.500
In: 0.852 0.136 0.989

***

The calculated total energy results, record by record, are as follows: -0.183; -0.307; -0.319; -0.255; -0.261; -0.225; -0.153; -0.138; -0.182; -0.265; -0.189; -0.151 Ha/atom.